Record 1
# NaMgTlAg GGA-PBE relaxed
data_NaMgTlAg
_chemical_formula_sum 'Na1 Mg1 Tl1 Ag1'
_cell_length_a 3.4436
_cell_length_b 3.4436
_cell_length_c 7.9050
_cell_angle_alpha 90.00
_cell_angle_beta 90.00
_cell_angle_gamma 90.00
_symmetry_space_group_name_H-M 'P 4 m m'
_symmetry_Int_Tables_number 99
_symmetry_space_group_name_Hall 'P 4 -2'
loop_
_atom_site_label
_atom_site_fract_x
_atom_site_fract_y
_atom_site_fract_z
Na1 0.0000 0.0000 0.0000
Mg1 0.0000 0.0000 0.4402
Tl1 0.5000 0.5000 0.7061
Ag1 0.5000 0.5000 0.2577
# Total moment in μB per formula unit: 0.00
# DOS at the Fermi energy in states/eV/atom: 0.265
# Formation enthalpy at 0 K in eV per atom: -0.093
# Energy relative to the lowest polymorph listed for this composition in meV/atom: 0

***

Record 2
# Ti3PtC GGA-PBE relaxed
data_Ti3PtC
_chemical_formula_sum 'Ti12 Pt4 C4'
_cell_length_a 4.2804
_cell_length_b 4.2804
_cell_length_c 20.3865
_cell_angle_alpha 90.00
_cell_angle_beta 90.00
_cell_angle_gamma 90.00
_symmetry_space_group_name_H-M 'I -4 m 2'
_symmetry_Int_Tables_number 119
_symmetry_space_group_name_Hall 'I -4 -2'
loop_
_atom_site_label
_atom_site_fract_x
_atom_site_fract_y
_atom_site_fract_z
Ti1 0.0000 0.0000 0.1863
Ti2 0.0000 0.2421 0.6148
Pt1 0.0000 0.0000 0.5000
Pt2 0.0000 0.5000 0.7500
C1 0.0000 0.5000 0.1396
# Total moment in μB per formula unit: 0.00
# DOS at the Fermi energy in states/eV/atom: 1.071
# Formation enthalpy at 0 K in eV per atom: 0.601
# Energy relative to the lowest polymorph listed for this composition in meV/atom: 1426

***

Record 3
# CaPrHo2Sb4 GGA-PBE relaxed
data_CaPrHo2Sb4
_chemical_formula_sum 'Ca4 Pr4 Ho8 Sb16'
_cell_length_a 8.9102
_cell_length_b 12.5960
_cell_length_c 8.9121
_cell_angle_alpha 90.00
_cell_angle_beta 90.00
_cell_angle_gamma 90.00
_symmetry_space_group_name_H-M 'F m m 2'
_symmetry_Int_Tables_number 42
_symmetry_space_group_name_Hall 'F 2 -2'
loop_
_atom_site_label
_atom_site_fract_x
_atom_site_fract_y
_atom_site_fract_z
Ca1 0.0000 0.0000 0.0000
Pr1 0.0000 0.0000 0.5004
Ho1 0.2500 0.2500 0.2513
Sb1 0.0000 0.2501 0.0013
Sb2 0.2498 0.0000 0.2502
# Total moment in μB per formula unit: 0.00
# DOS at the Fermi energy in states/eV/atom: 0.644
# Formation energy without anion corrections in eV/atom: -1.018

***

Record 4
# BaPaCoSe4 GGA-PBE relaxed
data_BaPaCoSe4
_chemical_formula_sum 'Ba2 Pa2 Co2 Se8'
_cell_length_a 6.8491
_cell_length_b 6.0783
_cell_length_c 8.9033
_cell_angle_alpha 90.00
_cell_angle_beta 106.36
_cell_angle_gamma 90.00
_symmetry_space_group_name_H-M 'P 1 21/m 1'
_symmetry_Int_Tables_number 11
_symmetry_space_group_name_Hall '-P 2yb'
loop_
_atom_site_label
_atom_site_fract_x
_atom_site_fract_y
_atom_site_fract_z
Ba1 0.2492 0.2500 0.4441
Pa1 0.2357 0.2500 0.9460
Co1 0.2543 0.7500 0.1559
Se1 0.0687 0.7500 0.3458
Se2 0.0710 0.7500 0.8985
Se3 0.4852 0.5068 0.7855
# Total moment in μB per formula unit: 0.94
# DOS at the Fermi energy in states/eV/atom: 0.693
# Formation energy without anion corrections in eV/atom: -1.216

***

Record 5
# LiRe3Tc GGA-PBE relaxed
data_LiRe3Tc
_chemical_formula_sum 'Li1 Re3 Tc1'
_cell_length_a 4.7160
_cell_length_b 4.7160
_cell_length_c 4.7160
_cell_angle_alpha 90.00
_cell_angle_beta 90.00
_cell_angle_gamma 90.00
_symmetry_space_group_name_H-M 'P m -3 m'
_symmetry_Int_Tables_number 221
_symmetry_space_group_name_Hall '-P 4 2 3'
loop_
_atom_site_label
_atom_site_fract_x
_atom_site_fract_y
_atom_site_fract_z
Li1 0.0000 0.0000 0.0000
Re1 0.0000 0.5000 0.5000
Tc1 0.5000 0.5000 0.5000
# Total moment in μB per formula unit: 2.22
# DOS at the Fermi energy in states/eV/atom: 0.873
# Formation enthalpy at 0 K in eV per atom: 1.992
# Energy relative to the lowest polymorph listed for this composition in meV/atom: 764

***

Record 6
# NaHo2Tm GGA-PBE relaxed
data_NaHo2Tm
_chemical_formula_sum 'Na3 Ho6 Tm3'
_cell_length_a 3.4671
_cell_length_b 3.4671
_cell_length_c 37.7258
_cell_angle_alpha 90.00
_cell_angle_beta 90.00
_cell_angle_gamma 120.00
_symmetry_space_group_name_H-M 'R -3 m'
_symmetry_Int_Tables_number 166
_symmetry_space_group_name_Hall '-R 3 2"'
loop_
_atom_site_label
_atom_site_fract_x
_atom_site_fract_y
_atom_site_fract_z
Na1 0.0000 0.0000 0.0000
Ho1 0.0000 0.0000 0.0927
Tm1 0.0000 0.0000 0.5000
# Total moment in μB per formula unit: 0.00
# DOS at the Fermi energy in states/eV/atom: 1.196
# Formation enthalpy at 0 K in eV per atom: 0.161
# Energy relative to the lowest polymorph listed for this composition in meV/atom: 26

***

Record 7
# CaOsI2N GGA-PBE relaxed
data_CaOsI2N
_chemical_formula_sum 'Ca1 Os1 I2 N1'
_cell_length_a 6.1355
_cell_length_b 6.1355
_cell_length_c 4.6087
_cell_angle_alpha 90.00
_cell_angle_beta 90.00
_cell_angle_gamma 90.00
_symmetry_space_group_name_H-M 'P 4/m m m'
_symmetry_Int_Tables_number 123
_symmetry_space_group_name_Hall '-P 4 2'
loop_
_atom_site_label
_atom_site_fract_x
_atom_site_fract_y
_atom_site_fract_z
Ca1 0.0000 0.0000 0.0000
Os1 0.5000 0.5000 0.5000
I1 0.0000 0.5000 0.0000
N1 0.0000 0.0000 0.5000
# Total moment in μB per formula unit: 6.87
# DOS at the Fermi energy in states/eV/atom: 1.516
# Formation energy without anion corrections in eV/atom: 1.421
# Energy relative to the lowest polymorph listed for this composition in meV/atom: 1509

***

Record 8
# InSi2Pt GGA-PBE relaxed
data_InSi2Pt
_chemical_formula_sum 'In1 Si2 Pt1'
_cell_length_a 3.8189
_cell_length_b 3.8189
_cell_length_c 4.9201
_cell_angle_alpha 90.00
_cell_angle_beta 90.00
_cell_angle_gamma 90.00
_symmetry_space_group_name_H-M 'P 4/m m m'
_symmetry_Int_Tables_number 123
_symmetry_space_group_name_Hall '-P 4 2'
loop_
_atom_site_label
_atom_site_fract_x
_atom_site_fract_y
_atom_site_fract_z
In1 0.0000 0.0000 0.0000
Si1 0.0000 0.5000 0.5000
Pt1 0.5000 0.5000 0.0000
# Total moment in μB per formula unit: 0.00
# DOS at the Fermi energy in states/eV/atom: 0.320
# Formation energy without anion corrections in eV/atom: 0.225

***

Record 9
# Ca2CoW2 GGA-PBE relaxed
data_Ca2CoW2
_chemical_formula_sum 'Ca4 Co2 W4'
_cell_length_a 3.5969
_cell_length_b 3.5969
_cell_length_c 18.3040
_cell_angle_alpha 90.00
_cell_angle_beta 90.00
_cell_angle_gamma 90.00
_symmetry_space_group_name_H-M 'I 4/m m m'
_symmetry_Int_Tables_number 139
_symmetry_space_group_name_Hall '-I 4 2'
loop_
_atom_site_label
_atom_site_fract_x
_atom_site_fract_y
_atom_site_fract_z
Ca1 0.0000 0.0000 0.0957
Co1 0.0000 0.0000 0.5000
W1 0.0000 0.5000 0.2500
# Total moment in μB per formula unit: 0.95
# DOS at the Fermi energy in states/eV/atom: 1.417
# Formation enthalpy at 0 K in eV per atom: 0.914
# Energy relative to the lowest polymorph listed for this composition in meV/atom: 0

***

Record 10
# Tb2Ho3Al3 GGA-PBE relaxed
data_Tb2Ho3Al3
_chemical_formula_sum 'Tb4 Ho6 Al6'
_cell_length_a 3.6641
_cell_length_b 5.1288
_cell_length_c 21.5565
_cell_angle_alpha 90.00
_cell_angle_beta 90.00
_cell_angle_gamma 90.00
_symmetry_space_group_name_H-M 'I m m m'
_symmetry_Int_Tables_number 71
_symmetry_space_group_name_Hall '-I 2 2'
loop_
_atom_site_label
_atom_site_fract_x
_atom_site_fract_y
_atom_site_fract_z
Tb1 0.0000 0.0000 0.2300
Ho1 0.0000 0.0000 0.0000
Ho2 0.0000 0.5000 0.1195
Al1 0.0000 0.0000 0.5000
Al2 0.0000 0.5000 0.3849
# Total moment in μB per formula unit: 0.00
# DOS at the Fermi energy in states/eV/atom: 0.672
# Formation enthalpy at 0 K in eV per atom: -0.294
# Energy relative to the lowest polymorph listed for this composition in meV/atom: 0